TlVF3: relaxed, PBE+U.

Results
energy above the lowest structure with this stoichiometry: 2.10 eV/f.u.
magnetic moment: 3.0 μB per formula unit

Cell: 7.964 7.964 7.964 Å, 143.78 143.78 52.15°
Fractional positions:
Tl (0.112, 0.112, 0.000)
Tl (0.888, 0.888, 0.000)
V (0.500, 0.500, 0.000)
V (0.750, 0.250, 0.500)
F (0.028, 0.528, 0.500)
F (0.114, 0.357, 0.756)
F (0.472, 0.972, 0.500)
F (0.601, 0.357, 0.244)
F (0.643, 0.399, 0.756)
F (0.643, 0.886, 0.244)